A plane-wave DFT calculation with PBE was carried out for LaCeZn3 after structural relaxation.

a = 3.536 Å, b = 28.066 Å, c = 4.634 Å
α = 90.00°, β = 90.00°, γ = 90.00°
Space group Cmcm (No. 63)
Asymmetric unit:
La 0.000 0.073 0.250 (multiplicity 4)
Ce 0.000 0.213 0.750 (multiplicity 4)
Zn 0.000 0.329 0.750 (multiplicity 4)
Zn 0.000 0.379 0.250 (multiplicity 4)
Zn 0.000 0.476 0.250 (multiplicity 4)

Calculated values
energy of formation	-271	meV/atom
electronic total energy	-64.16	eV/cell